Computed, not measured: a relaxed structure of ReCl at the PBE-GGA level of DFT.

Calculated values
The value obtained for the uncorrected formation energy is 0.4245 eV per atom. The excess energy over the best structure of this formula in the dataset is 536 meV/atom. Its crystal system is orthorhombic. Its total magnetization is 0.00 μB per formula unit.

Cell lengths 3.2298, 5.1813, 11.6486 Å; angles 90.00, 90.00, 90.00 degrees
Closest atoms and distances in Å follow each position.
Fractional coordinates of all 8 atoms:
Re1 0.7500 0.3425 0.9904  2 Re 2.31, 1 Cl 2.46
Re2 0.2500 0.8425 0.5096  2 Re 2.31, 1 Cl 2.46
Re3 0.7500 0.1575 0.4904  2 Re 2.31, 1 Cl 2.46
Re4 0.2500 0.6575 0.0096  2 Re 2.31, 1 Cl 2.46
Cl1 0.7500 0.9928 0.1333  1 Re 2.46
Cl2 0.2500 0.4928 0.3667  1 Re 2.46
Cl3 0.7500 0.5072 0.6333  1 Re 2.46
Cl4 0.2500 0.0072 0.8667  1 Re 2.46

Computed, not measured: a relaxed structure of MnI3Cl at the PBE-GGA level of DFT.

Calculated values
The value obtained for the uncorrected formation energy is 0.0446 eV per atom. The excess energy over the best structure of this formula in the dataset is 376 meV/atom. Its crystal system is cubic. Its total magnetization is 3.17 μB per formula unit.

Cell lengths 5.4715, 5.4715, 5.4715 Å; angles 90.00, 90.00, 90.00 degrees
Closest atoms and distances in Å follow each position.
Fractional coordinates of all 5 atoms:
I1 0.0000 0.5000 0.0000  2 Mn 2.74
I2 0.0000 0.0000 0.5000  2 Mn 2.74
I3 0.5000 0.0000 0.0000  2 Mn 2.74
Mn1 0.0000 0.0000 0.0000  6 I 2.74
Cl1 0.5000 0.5000 0.5000  12 I 3.87

Computed, not measured: a relaxed structure of PmDy3Pt8 at the PBE-GGA level of DFT.

Calculated values
The formation energy comes out at -1.059 eV per atom. Its crystal system is trigonal. Its total magnetization is 0.00 μB per formula unit.

Cell lengths 5.4673, 5.4673, 8.9103 Å; angles 90.00, 90.00, 120.00 degrees
Closest atoms and distances in Å follow each position.
Fractional coordinates of all 12 atoms:
Pm1 0.0000 0.0000 0.5667  12 Pt 3.19-3.24, 4 Dy 3.31-3.38
Dy1 0.6667 0.3333 0.4313  12 Pt 3.18-3.25, 1 Dy 3.28, 3 Pm 3.38
Dy2 0.6667 0.3333 0.0636  12 Pt 3.18-3.21, 4 Dy 3.28-3.35
Dy3 0.0000 0.0000 0.9387  12 Pt 3.17-3.20, 1 Pm 3.31, 3 Dy 3.35
Pt1 0.3333 0.6667 0.4997  6 Pt 2.75-2.76
Pt2 0.3333 0.6667 0.9993  6 Pt 2.73-2.74
Pt3 0.5026 0.0052 0.7517  6 Pt 2.69-2.78
Pt4 0.5026 0.4974 0.7517  6 Pt 2.69-2.78
Pt5 0.9948 0.4974 0.7517  6 Pt 2.69-2.78
Pt6 0.1645 0.3290 0.2485  6 Pt 2.70-2.77
Pt7 0.1645 0.8355 0.2485  6 Pt 2.70-2.77
Pt8 0.6710 0.8355 0.2485  6 Pt 2.70-2.77

Computed, not measured: a relaxed structure of LiAg5Hg4 at the PBE-GGA level of DFT.

Calculated values
The formation energy comes out at 0.043 eV per atom. The excess energy over the best structure of this formula in the dataset is 68 meV/atom. Its crystal system is monoclinic. Its total magnetization is 0.00 μB per formula unit.

Cell lengths 3.0235, 9.5824, 8.1646 Å; angles 114.21, 100.67, 90.00 degrees
Closest atoms and distances in Å follow each position.
Fractional coordinates of all 10 atoms:
Li1 0.5000 0.0000 0.0000  6 Hg 2.76-2.79, 2 Li 3.02
Ag1 0.1798 0.3500 0.3596  5 Ag 2.85-3.02, 3 Hg 2.99-3.15
Ag2 0.1632 0.6343 0.3264  7 Ag 2.83-3.02, 2 Hg 2.87-3.07
Ag3 0.8368 0.3657 0.6736  7 Ag 2.83-3.02, 2 Hg 2.87-3.07
Ag4 0.5000 0.5000 0.0000  6 Ag 2.83-3.02, 4 Hg 2.95
Ag5 0.8202 0.6500 0.6404  5 Ag 2.85-3.02, 3 Hg 2.99-3.15
Hg1 0.6865 0.0670 0.3730  1 Li 2.79, 1 Ag 2.87, 2 Hg 3.02
Hg2 0.9749 0.2211 0.9499  2 Li 2.76, 4 Ag 2.95-3.07, 2 Hg 3.02
Hg3 0.3135 0.9330 0.6270  1 Li 2.79, 1 Ag 2.87, 2 Hg 3.02
Hg4 0.0251 0.7789 0.0501  2 Li 2.76, 4 Ag 2.95-3.07, 2 Hg 3.02

Computed, not measured: a relaxed structure of Zr2TaBe2Co5 at the PBE-GGA level of DFT.

Calculated values
The formation energy comes out at -0.396 eV per atom. Its crystal system is tetragonal. Its total magnetization is 0.00 μB per formula unit.

Cell lengths 3.2339, 8.8531, 8.8531 Å; angles 90.00, 90.00, 90.00 degrees
Closest atoms and distances in Å follow each position.
Fractional coordinates of all 20 atoms:
Zr1 0.0000 0.6753 0.1753  3 Be 2.59-2.65, 10 Co 2.73-2.86
Zr2 0.0000 0.3247 0.8247  3 Be 2.59-2.65, 10 Co 2.73-2.86
Zr3 0.0000 0.1753 0.3247  3 Be 2.59-2.65, 10 Co 2.73-2.86
Zr4 0.0000 0.8247 0.6753  3 Be 2.59-2.65, 10 Co 2.73-2.86
Ta1 0.0000 0.0000 0.0000  8 Co 2.57
Ta2 0.0000 0.5000 0.5000  8 Co 2.57
Be1 0.0000 0.1180 0.6180  6 Co 2.19-2.23
Be2 0.0000 0.8820 0.3820  6 Co 2.19-2.23
Be3 0.0000 0.6180 0.8820  6 Co 2.19-2.23
Be4 0.0000 0.3820 0.1180  6 Co 2.19-2.23
Co1 0.5000 0.2157 0.0685  2 Be 2.23
Co2 0.5000 0.7843 0.9315  2 Be 2.23
Co3 0.5000 0.0685 0.7843  2 Be 2.23
Co4 0.5000 0.7157 0.4315  2 Be 2.23
Co5 0.5000 0.9315 0.2157  2 Be 2.23
Co6 0.5000 0.2843 0.5685  2 Be 2.23
Co7 0.5000 0.5685 0.7157  2 Be 2.23
Co8 0.5000 0.4315 0.2843  2 Be 2.23
Co9 0.5000 0.5000 0.0000  4 Be 2.19
Co10 0.5000 0.0000 0.5000  4 Be 2.19

Computed, not measured: a relaxed structure of Y2In2Sb at the PBE-GGA level of DFT.

Calculated values
The value obtained for the uncorrected formation energy is -0.4609 eV per atom. The excess energy over the best structure of this formula in the dataset is 4 meV/atom. Its crystal system is tetragonal. Its total magnetization is 0.00 μB per formula unit.

Cell lengths 7.8387, 7.8387, 4.4824 Å; angles 90.00, 90.00, 90.00 degrees
Closest atoms and distances in Å follow each position.
Fractional coordinates of all 10 atoms:
Y1 0.1710 0.6710 0.5000  6 In 3.15-3.27
Y2 0.6710 0.8290 0.5000  6 In 3.15-3.27
Y3 0.8290 0.3290 0.5000  6 In 3.15-3.27
Y4 0.3290 0.1710 0.5000  6 In 3.15-3.27
Sb1 0.0000 0.0000 0.0000  4 In 3.08
Sb2 0.5000 0.5000 0.0000  4 In 3.08
In1 0.3705 0.8705 0.0000  1 In 2.87, 2 Sb 3.08, 2 Y 3.15
In2 0.8705 0.6295 0.0000  1 In 2.87, 2 Sb 3.08, 2 Y 3.15
In3 0.6295 0.1295 0.0000  1 In 2.87, 2 Sb 3.08, 2 Y 3.15
In4 0.1295 0.3705 0.0000  1 In 2.87, 2 Sb 3.08, 2 Y 3.15

Computed, not measured: a relaxed structure of NaAlH4 at the PBE-GGA level of DFT.

Calculated values
For the uncorrected energy, the calculation gives -38.57 eV per cell. Its crystal system is orthorhombic. Its total magnetization is 0.00 μB per formula unit.

Cell lengths 7.0809, 7.0809, 5.0641 Å; angles 90.00, 90.00, 151.25 degrees
Closest atoms and distances in Å follow each position.
Fractional coordinates of all 12 atoms:
Na1 0.1702 0.8298 0.2384  5 H 2.20-2.28
Na2 0.8298 0.1702 0.7384  5 H 2.20-2.28
Al1 0.4145 0.5855 0.2062  6 H 1.67-1.86
Al2 0.5855 0.4145 0.7062  6 H 1.67-1.86
H1 0.3483 0.6517 0.4821  1 Al 1.67
H2 0.6517 0.3483 0.9821  1 Al 1.67
H3 0.3143 0.6857 0.0120  1 Al 1.69
H4 0.6857 0.3143 0.5120  1 Al 1.69
H5 0.0764 0.9236 0.6834  2 Al 1.77
H6 0.9236 0.0764 0.1834  2 Al 1.77
H7 0.5238 0.4762 0.3789  2 Al 1.74-1.86
H8 0.4762 0.5238 0.8789  2 Al 1.74-1.86

Computed, not measured: a relaxed structure of SrPbAuS2 at the PBE-GGA level of DFT.

Calculated values
The value obtained for the uncorrected formation energy is -0.0245 eV per atom. Its crystal system is tetragonal. Its total magnetization is 0.00 μB per formula unit.

Cell lengths 5.0440, 5.5509, 5.0440 Å; angles 90.00, 90.00, 90.00 degrees
Closest atoms and distances in Å follow each position.
Fractional coordinates of all 5 atoms:
Pb1 0.5000 0.5000 0.5000  4 Sr 3.57, 8 S 3.75
Sr1 0.0000 0.5000 0.0000  2 Au 2.78
S1 0.0000 0.0000 0.5000  2 Au 2.52
S2 0.5000 0.0000 0.0000  2 Au 2.52
Au1 0.0000 0.0000 0.0000  4 S 2.52, 2 Sr 2.78

Computed, not measured: a relaxed structure of TbErOsRu at the PBE-GGA level of DFT.

Calculated values
The formation energy comes out at -0.190 eV per atom. Its crystal system is cubic. Its total magnetization is 0.00 μB per formula unit.

Cell lengths 4.8023, 4.8023, 4.8023 Å; angles 60.00, 60.00, 60.00 degrees
Closest atoms and distances in Å follow each position.
Fractional coordinates of all 4 atoms:
Ru1 0.7500 0.7500 0.7500  4 Tb 2.94, 4 Er 2.94
Tb1 0.5000 0.5000 0.5000  4 Os 2.94, 4 Ru 2.94
Os1 0.2500 0.2500 0.2500  4 Tb 2.94, 4 Er 2.94
Er1 0.0000 0.0000 0.0000  4 Ru 2.94, 4 Os 2.94

Computed, not measured: a relaxed structure of Cs3Sm3GaSe8 at the PBE-GGA level of DFT.

Calculated values
The value obtained for the uncorrected formation energy is -1.3609 eV per atom. Its crystal system is monoclinic. Its total magnetization is 0.00 μB per formula unit.

Cell lengths 8.4286, 8.4298, 9.8905 Å; angles 115.23, 90.00, 119.99 degrees
Closest atoms and distances in Å follow each position.
Fractional coordinates of all 15 atoms:
Cs1 0.0000 0.0000 0.0000  6 Se 3.61-3.64
Cs2 0.0000 0.5000 0.0000  6 Se 3.61-3.64
Cs3 0.5000 0.5000 0.0000  6 Se 3.61-3.64
Sm1 0.5000 0.0000 0.5000  6 Se 2.93-2.95
Sm2 0.5000 0.5000 0.5000  6 Se 2.93-2.95
Sm3 0.0000 0.5000 0.5000  6 Se 2.93-2.95
Ga1 0.0000 0.0000 0.5000  6 Se 2.71-2.73
Se1 0.2700 0.5399 0.3101  3 Sm 2.93
Se2 0.7300 0.4601 0.6899  3 Sm 2.93
Se3 0.7871 0.5742 0.3236  1 Ga 2.71, 2 Sm 2.95
Se4 0.2129 0.4258 0.6764  1 Ga 2.71, 2 Sm 2.95
Se5 0.7859 0.0369 0.3228  1 Ga 2.73, 2 Sm 2.95
Se6 0.2141 0.9631 0.6772  1 Ga 2.73, 2 Sm 2.95
Se7 0.2510 0.0369 0.3228  1 Ga 2.73, 2 Sm 2.95
Se8 0.7490 0.9631 0.6772  1 Ga 2.73, 2 Sm 2.95

Computed, not measured: a relaxed structure of RhBr3 at the PBE-GGA level of DFT.

Calculated values
The value obtained for the uncorrected formation energy is -0.0565 eV per atom. Its crystal system is trigonal. Its total magnetization is 0.00 μB per formula unit.

Cell lengths 7.7937, 7.7937, 7.7937 Å; angles 28.21, 28.21, 28.21 degrees
Closest atoms and distances in Å follow each position.
Fractional coordinates of all 4 atoms:
Rh1 0.0000 0.0000 0.0000  6 Br 2.57
Br1 0.7265 0.7265 0.7265  3 Rh 2.57
Br2 0.5000 0.5000 0.5000  6 Br 3.25
Br3 0.2735 0.2735 0.2735  3 Rh 2.57

Computed, not measured: a relaxed structure of BeTlSe3 at the PBE-GGA level of DFT.

Calculated values
The value obtained for the uncorrected formation energy is 0.0882 eV per atom. The excess energy over the best structure of this formula in the dataset is 0 meV/atom. Its crystal system is cubic. Its total magnetization is 0.00 μB per formula unit.

Cell lengths 4.7986, 4.7986, 4.7986 Å; angles 90.00, 90.00, 90.00 degrees
Closest atoms and distances in Å follow each position.
Fractional coordinates of all 5 atoms:
Be1 0.0000 0.0000 0.0000  6 Se 2.40
Tl1 0.5000 0.5000 0.5000  12 Se 3.39
Se1 0.0000 0.5000 0.0000  2 Be 2.40
Se2 0.0000 0.0000 0.5000  2 Be 2.40
Se3 0.5000 0.0000 0.0000  2 Be 2.40